No. 1
ZnCr8 | PBE | relaxed

* magnetization: 0.00 μB per cell
* space group: I4/mmm (139)
* E: -8.3995 eV/atom
* crystal system: tetragonal

```
ZnCr8
1.0
-3.619 3.619 2.060
3.619 -3.619 2.060
3.619 3.619 -2.060
Zn Cr
1 8
Direct
0.000 0.000 0.000 Zn
0.000 0.338 0.338 Cr
0.000 0.662 0.662 Cr
0.337 0.337 0.673 Cr
0.337 0.663 0.000 Cr
0.338 0.000 0.338 Cr
0.662 0.000 0.662 Cr
0.663 0.337 0.000 Cr
0.663 0.663 0.327 Cr
```

---

No. 2
AcCePmTh | PBE | relaxed

* magnetization: 1.57 μB per cell
* space group: F-43m (216)
* E: -5.2977 eV/atom
* crystal system: cubic

```
AcCePmTh
1.0
0.000 4.118 4.118
4.118 0.000 4.118
4.118 4.118 0.000
Ac Ce Pm Th
1 1 1 1
Direct
0.000 0.000 0.000 Ac
0.750 0.750 0.750 Ce
0.250 0.250 0.250 Pm
0.500 0.500 0.500 Th
```

---

No. 3
Sc2Pt2Se | PBE | relaxed

* magnetization: 0.00 μB per cell
* space group: P4/mbm (127)
* crystal system: tetragonal
* uncorrected formation energy: -1.024 eV/atom
* offset from the most stable computed form: 29 meV/atom

```
Sc2Pt2Se
1.0
7.498 0.000 0.000
0.000 7.498 0.000
0.000 0.000 3.466
Sc Pt Se
4 4 2
Direct
0.168 0.332 0.000 Sc
0.332 0.832 0.000 Sc
0.668 0.168 0.000 Sc
0.832 0.668 0.000 Sc
0.128 0.628 0.500 Pt
0.372 0.128 0.500 Pt
0.628 0.872 0.500 Pt
0.872 0.372 0.500 Pt
0.000 0.000 0.000 Se
0.500 0.500 0.000 Se
```

---

No. 4
Cs12Ba3Au5 | PBE | relaxed

* magnetization: 19.26 μB per cell
* space group: Ia-3d (230)
* E: -1.5646 eV/atom
* crystal system: cubic

```
Cs12Ba3Au5
1.0
-11.863 11.863 11.863
11.863 -11.863 11.863
11.863 11.863 -11.863
Cs Ba Au
48 12 20
Direct
0.007 0.189 0.097 Cs
0.007 0.318 0.909 Cs
0.091 0.597 0.409 Cs
0.091 0.689 0.682 Cs
0.091 0.903 0.409 Cs
0.091 0.993 0.682 Cs
0.097 0.007 0.189 Cs
0.097 0.591 0.909 Cs
0.182 0.189 0.591 Cs
0.182 0.493 0.591 Cs
0.189 0.097 0.007 Cs
0.189 0.591 0.182 Cs
0.311 0.318 0.909 Cs
0.311 0.493 0.403 Cs
0.318 0.909 0.007 Cs
0.318 0.909 0.311 Cs
0.403 0.311 0.493 Cs
0.403 0.591 0.909 Cs
0.409 0.091 0.597 Cs
0.409 0.091 0.903 Cs
0.409 0.818 0.507 Cs
0.409 0.818 0.811 Cs
0.493 0.403 0.311 Cs
0.493 0.591 0.182 Cs
0.507 0.409 0.818 Cs
0.507 0.597 0.689 Cs
0.591 0.182 0.189 Cs
0.591 0.182 0.493 Cs
0.591 0.909 0.097 Cs
0.591 0.909 0.403 Cs
0.597 0.409 0.091 Cs
0.597 0.689 0.507 Cs
0.682 0.091 0.689 Cs
0.682 0.091 0.993 Cs
0.689 0.507 0.597 Cs
0.689 0.682 0.091 Cs
0.811 0.409 0.818 Cs
0.811 0.903 0.993 Cs
0.818 0.507 0.409 Cs
0.818 0.811 0.409 Cs
0.903 0.409 0.091 Cs
0.903 0.993 0.811 Cs
0.909 0.007 0.318 Cs
0.909 0.097 0.591 Cs
0.909 0.311 0.318 Cs
0.909 0.403 0.591 Cs
0.993 0.682 0.091 Cs
0.993 0.811 0.903 Cs
0.125 0.250 0.375 Ba
0.125 0.375 0.750 Ba
0.250 0.375 0.125 Ba
0.250 0.875 0.625 Ba
0.375 0.125 0.250 Ba
0.375 0.750 0.125 Ba
0.625 0.250 0.875 Ba
0.625 0.875 0.750 Ba
0.750 0.125 0.375 Ba
0.750 0.625 0.875 Ba
0.875 0.625 0.250 Ba
0.875 0.750 0.625 Ba
0.000 0.000 0.000 Au
0.000 0.000 0.500 Au
0.000 0.500 0.000 Au
0.000 0.500 0.500 Au
0.125 0.750 0.875 Au
0.125 0.875 0.250 Au
0.250 0.125 0.875 Au
0.250 0.625 0.375 Au
0.375 0.250 0.625 Au
0.375 0.625 0.750 Au
0.500 0.000 0.000 Au
0.500 0.000 0.500 Au
0.500 0.500 0.000 Au
0.500 0.500 0.500 Au
0.625 0.375 0.250 Au
0.625 0.750 0.375 Au
0.750 0.375 0.625 Au
0.750 0.875 0.125 Au
0.875 0.125 0.750 Au
0.875 0.250 0.125 Au
```

---

No. 5
Al2CdTe | PBE | relaxed

* magnetization: 0.00 μB per cell
* space group: Imm2 (44)
* crystal system: orthorhombic
* uncorrected formation energy: 0.133 eV/atom
* offset from the most stable computed form: 105 meV/atom

```
Al2CdTe
1.0
-1.864 2.272 5.493
1.864 -2.272 5.493
1.864 2.272 -5.493
Al Cd Te
2 1 1
Direct
0.000 0.000 0.000 Al
0.795 0.295 0.500 Al
0.479 0.479 0.000 Cd
0.203 0.703 0.500 Te
```

---

No. 6
Rb3Tb3PtO8 | PBE | relaxed

* magnetization: 0.00 μB per cell
* space group: R-3m (166)
* crystal system: trigonal
* uncorrected formation energy: -2.263 eV/atom

```
Rb3Tb3PtO8
1.0
3.432 1.981 6.589
-3.432 1.981 6.589
0.000 -3.963 6.589
Rb Tb Pt O
3 3 1 8
Direct
0.000 0.500 0.500 Rb
0.500 0.000 0.500 Rb
0.500 0.500 0.000 Rb
0.000 0.000 0.500 Tb
0.000 0.500 0.000 Tb
0.500 0.000 0.000 Tb
0.500 0.500 0.500 Pt
0.224 0.224 0.224 O
0.247 0.710 0.710 O
0.290 0.290 0.753 O
0.290 0.753 0.290 O
0.710 0.247 0.710 O
0.710 0.710 0.247 O
0.753 0.290 0.290 O
0.776 0.776 0.776 O
```

---

What is the magnetization in the fifth record? 0.00 μB per cell